Model i:
# Ti2VMo2

A relaxed structure of Ti2VMo2 (PBE-GGA, Alexandria).

Output
Density: 7.23 g cm⁻³
Density of states at the Fermi level: 1.447 states/eV per atom
Total magnetic moment: 0.002 μB per cell

Cell: 7.695 4.431 5.228 Å, 90.00 119.27 90.00°
Space group C2/m (No. 12)
One atom of each set of equivalent atoms:
Ti1 0.207 0.000 0.120 [4 per cell]
V1 0.000 0.000 0.500 [2 per cell]
Mo1 0.096 0.500 0.288 [4 per cell]


Model ii:
# Ti2VMo2

A relaxed structure of Ti2VMo2 (PBE-GGA, Alexandria).

Output
Density: 6.81 g cm⁻³
Density of states at the Fermi level: 0.993 states/eV per atom
Total magnetic moment: 0.000 μB per cell

Cell: 12.524 4.393 6.579 Å, 90.00 114.11 90.00°
Space group C2/m (No. 12)
One atom of each set of equivalent atoms:
Ti1 0.171 0.000 0.419 [4 per cell]
Ti2 0.219 0.500 0.125 [4 per cell]
V1 0.130 0.500 0.672 [4 per cell]
Mo1 0.040 0.500 0.229 [4 per cell]
Mo2 0.084 0.000 0.924 [4 per cell]


Model iii:
# Ti2VMo2

A relaxed structure of Ti2VMo2 (PBE-GGA, Alexandria).

Output
Density: 6.76 g cm⁻³
Density of states at the Fermi level: 1.106 states/eV per atom
Total magnetic moment: 0.002 μB per cell

Cell: 6.682 6.682 3.723 Å, 90.00 90.00 90.00°
Space group P4/mbm (No. 127)
One atom of each set of equivalent atoms:
Ti1 0.159 0.341 0.000 [4 per cell]
V1 0.000 0.000 0.500 [2 per cell]
Mo1 0.155 0.655 0.500 [4 per cell]


Stability verdict: model i, ahead by 261 meV/atom


Model i:
# Ti6VMo2

A relaxed structure of Ti6VMo2 (PBE-GGA, Alexandria).

Output
Density: 6.01 g cm⁻³
Density of states at the Fermi level: 1.523 states/eV per atom
Total magnetic moment: 1.455 μB per cell

Cell: 5.074 14.009 4.517 Å, 90.00 114.17 90.00°
Space group C2/m (No. 12)
One atom of each set of equivalent atoms:
Ti1 0.186 0.159 0.339 [8 per cell]
Ti2 0.187 0.000 0.839 [4 per cell]
V1 0.000 0.500 0.500 [2 per cell]
Mo1 0.000 0.331 0.000 [4 per cell]


Model ii:
# Ti6VMo2

A relaxed structure of Ti6VMo2 (PBE-GGA, Alexandria).

Output
Density: 5.94 g cm⁻³
Density of states at the Fermi level: 1.213 states/eV per atom
Total magnetic moment: 0.068 μB per cell

Cell: 14.051 2.698 9.356 Å, 90.00 123.39 90.00°
Space group C2/m (No. 12)
One atom of each set of equivalent atoms:
Ti1 0.051 0.000 0.268 [4 per cell]
Ti2 0.113 0.500 0.051 [4 per cell]
Ti3 0.221 0.000 0.615 [4 per cell]
V1 0.000 0.000 0.500 [2 per cell]
Mo1 0.164 0.500 0.826 [4 per cell]


Stability verdict: model i, ahead by 114 meV/atom


Model i:
# TiV4Mo2

A relaxed structure of TiV4Mo2 (PBE-GGA, Alexandria).

Output
Density: 6.72 g cm⁻³
Density of states at the Fermi level: 1.425 states/eV per atom
Total magnetic moment: 0.001 μB per cell

Cell: 6.390 6.390 2.683 Å, 90.00 90.00 90.00°
Space group P-42m (No. 111)
One atom of each set of equivalent atoms:
Ti1 0.000 0.000 0.000 [1 per cell]
V1 0.325 0.325 0.830 [4 per cell]
Mo1 0.000 0.500 0.500 [2 per cell]


Model ii:
# TiV4Mo2

A relaxed structure of TiV4Mo2 (PBE-GGA, Alexandria).

Output
Density: 6.24 g cm⁻³
Density of states at the Fermi level: 1.580 states/eV per atom
Total magnetic moment: 0.070 μB per cell

Cell: 4.341 4.341 12.521 Å, 90.00 90.00 90.00°
Space group I4/mmm (No. 139)
One atom of each set of equivalent atoms:
Ti1 0.000 0.000 0.000 [2 per cell]
V1 0.000 0.000 0.193 [4 per cell]
V2 0.000 0.500 0.000 [4 per cell]
Mo1 0.000 0.000 0.372 [4 per cell]


Stability verdict: model i, ahead by 740 meV/atom